Entry 1:
Crystalline CsPmTm at its relaxed geometry, computed with PBE.

Structure (extended XYZ):
```
3
Lattice="0.000 3.926 3.926 3.926 0.000 3.926 3.926 3.926 0.000" Properties=species:S:1:pos:R:3 pbc="T T T"
Cs 0.000 0.000 0.000
Pm 1.963 1.963 1.963
Tm 5.889 5.889 5.889
```

Crystal system ... cubic
Distance to the lowest polymorph of the same formula ... 1.99 kJ per mole of atoms
Space-group type ... No. 216

=====

Entry 2:
Crystalline CsPmTm at its relaxed geometry, computed with PBE.

Structure (extended XYZ):
```
3
Lattice="0.000 4.306 4.306 4.306 0.000 4.306 4.306 4.306 0.000" Properties=species:S:1:pos:R:3 pbc="T T T"
Cs 0.000 0.000 0.000
Pm 4.306 4.306 4.306
Tm 2.153 2.153 2.153
```

Crystal system ... cubic
Distance to the lowest polymorph of the same formula ... 0.00 kJ per mole of atoms
Space-group type ... No. 216

=====

Entry 3:
Crystalline Cs2Pr at its relaxed geometry, computed with PBE.

Structure (extended XYZ):
```
6
Lattice="0.000 5.733 5.733 5.733 0.000 5.733 5.733 5.733 0.000" Properties=species:S:1:pos:R:3 pbc="T T T"
Cs 0.000 0.000 0.000
Cs 2.867 2.867 0.000
Cs 2.867 0.000 2.867
Cs 0.000 2.867 2.867
Pr 4.300 4.300 4.300
Pr 7.166 7.166 7.166
```

Crystal system ... cubic
Space-group type ... No. 227

=====

Entry 4:
Crystalline CsPrPu at its relaxed geometry, computed with PBE.

Structure (extended XYZ):
```
3
Lattice="0.000 4.135 4.135 4.135 0.000 4.135 4.135 4.135 0.000" Properties=species:S:1:pos:R:3 pbc="T T T"
Cs 0.000 0.000 0.000
Pr 6.202 6.202 6.202
Pu 2.067 2.067 2.067
```

Crystal system ... cubic
Space-group type ... No. 216

=====

Entry 5:
Crystalline CsRbPr at its relaxed geometry, computed with PBE.

Structure (extended XYZ):
```
3
Lattice="0.000 5.019 5.019 5.019 0.000 5.019 5.019 5.019 0.000" Properties=species:S:1:pos:R:3 pbc="T T T"
Cs 0.000 0.000 0.000
Rb 5.019 5.019 5.019
Pr 2.510 2.510 2.510
```

Crystal system ... cubic
Distance to the lowest polymorph of the same formula ... 0.00 kJ per mole of atoms
Space-group type ... No. 216

=====

Entry 6:
Crystalline CsPrSmS3 at its relaxed geometry, computed with PBE.

Structure (extended XYZ):
```
12
Lattice="2.340 -8.022 0.000 2.340 8.022 0.000 0.000 0.000 10.943" Properties=species:S:1:pos:R:3 pbc="T T T"
Cs 2.340 4.239 8.207
Cs 2.340 -4.239 2.736
Pr 2.340 7.609 2.736
Pr 2.340 -7.609 8.207
Sm 2.340 0.000 0.000
Sm 2.340 0.000 5.472
S 2.340 6.259 0.370
S 2.340 6.259 5.102
S 2.340 0.949 2.736
S 2.340 -0.949 8.207
S 2.340 -6.259 5.841
S 2.340 -6.259 10.573
```

Crystal system ... orthorhombic
Space-group type ... No. 63

=====

Entry 7:
Crystalline CsPrSnS3 at its relaxed geometry, computed with PBE.

Structure (extended XYZ):
```
24
Lattice="16.167 0.000 0.000 0.000 4.182 0.000 0.000 0.000 12.268" Properties=species:S:1:pos:R:3 pbc="T T T"
Cs 3.808 1.046 1.121
Cs 4.276 3.137 7.254
Cs 11.891 1.046 5.013
Cs 12.360 3.137 11.147
Pr 0.000 1.046 4.340
Pr 0.000 3.137 7.927
Pr 8.084 1.046 1.793
Pr 8.084 3.137 10.474
Sn 0.657 1.046 11.125
Sn 7.427 3.137 4.991
Sn 8.740 1.046 7.277
Sn 15.511 3.137 1.143
S 1.291 3.137 2.774
S 1.504 1.046 6.715
S 1.968 3.137 10.099
S 6.115 1.046 3.965
S 6.579 3.137 0.581
S 6.793 1.046 8.908
S 9.375 3.137 3.360
S 9.588 1.046 11.686
S 10.052 3.137 8.302
S 14.199 1.046 2.168
S 14.663 3.137 5.553
S 14.876 1.046 9.494
```

Crystal system ... orthorhombic
Distance to the lowest polymorph of the same formula ... 0.00 kJ per mole of atoms
Space-group type ... No. 62

=====

Entry 8:
Crystalline CsPrSnS3 at its relaxed geometry, computed with PBE.

Structure (extended XYZ):
```
12
Lattice="2.085 -8.557 0.000 2.085 8.557 0.000 0.000 0.000 11.779" Properties=species:S:1:pos:R:3 pbc="T T T"
Cs 2.085 5.301 8.834
Cs 2.085 -5.301 2.945
Pr 2.085 0.000 0.000
Pr 2.085 0.000 5.889
Sn 2.085 6.734 2.945
Sn 2.085 -6.734 8.834
S 2.085 6.645 0.160
S 2.085 6.645 5.729
S 2.085 0.088 8.834
S 2.085 -0.088 2.945
S 2.085 -6.645 6.050
S 2.085 -6.645 11.619
```

Crystal system ... orthorhombic
Distance to the lowest polymorph of the same formula ... 10.29 kJ per mole of atoms
Space-group type ... No. 63

=====

Density, record by record: 6.1 4.6 3.6 6.1 2.4 4.2 3.9 3.9 g cm⁻³
E_tot, record by record: -2.115 -2.135 -1.387 -5.267 -1.219 -5.390 -5.025 -4.919 eV/atom